Entry 1:
InSbPb2: relaxed, PBEsol.

Properties
- Excess energy over the best structure of this formula in the dataset: 42 meV per atom
- Energy relative to the elements, uncorrected: 0.07 eV per atom

Cell lengths 5.4102, 5.4102, 5.4102 Å; angles 60.00, 60.00, 60.00 degrees
With the nearest neighbours (Å) after each atom.
Sites, in units of the cell vectors:
In 0.0000 0.0000 0.0000  4 Pb 3.31, 4 Sb 3.31
Sb 0.7500 0.7500 0.7500  4 In 3.31, 4 Pb 3.31
Pb 0.2500 0.2500 0.2500  4 Pb 3.31, 4 In 3.31
Pb 0.5000 0.5000 0.5000  4 Pb 3.31, 4 Sb 3.31

***

Entry 2:
In2SbPb: relaxed, PBEsol.

Properties
- Excess energy over the best structure of this formula in the dataset: 8 meV per atom
- Energy relative to the elements, uncorrected: 0.03 eV per atom

Cell lengths 3.2106, 5.2325, 6.5340 Å; angles 90.00, 100.35, 90.00 degrees
With the nearest neighbours (Å) after each atom.
Sites, in units of the cell vectors:
In 0.0788 0.0000 0.2557  4 In 3.21-3.32, 2 Sb 3.23, 4 Pb 3.46-3.50
In 0.9212 0.0000 0.7443  4 In 3.21-3.32, 2 Sb 3.23, 4 Pb 3.46-3.50
Sb 0.5000 0.5000 0.5000  2 Sb 3.21, 4 In 3.23, 2 Pb 3.27
Pb 0.5000 0.5000 0.0000  2 Pb 3.21, 2 Sb 3.27, 8 In 3.46-3.50

***

Entry 3:
InSbPb2: relaxed, PBEsol.

Properties
- Excess energy over the best structure of this formula in the dataset: 16 meV per atom
- Energy relative to the elements, uncorrected: 0.04 eV per atom

Cell lengths 3.4248, 4.7429, 6.9053 Å; angles 90.00, 90.00, 90.00 degrees
With the nearest neighbours (Å) after each atom.
Sites, in units of the cell vectors:
In 0.0000 0.0000 0.0000  4 Sb 3.33, 6 Pb 3.34-3.57, 2 In 3.42
Sb 0.5000 0.5000 0.7701  6 Pb 3.29-3.61, 4 In 3.33, 2 Sb 3.42
Pb 0.0000 0.0000 0.5164  2 In 3.34-3.57, 4 Sb 3.41, 6 Pb 3.42-3.47
Pb 0.5000 0.5000 0.2469  2 Sb 3.29-3.61, 4 In 3.39, 6 Pb 3.42-3.47